No. 1
This record from Alexandria via LeMat-Bulk describes PrSm2Mg after structural relaxation. The functional is GGA-PBE.

As for the excess energy over the best structure of this formula in the dataset: 248 meV/atom. The formation energy is 0.211 eV per atom. The calculation puts the volume at 33.83 Å³ per atom. For the spin magnetization, the calculation gives 0.00 Bohr magnetons per cell. For the raw total energy, the calculation gives -14.970 eV per formula unit.

Unit cell a=3.5217 b=3.5217 c=12.7604 alpha=82.07 beta=82.07 gamma=60.00
Atoms (fractional coordinates):
Pr 0.5000 0.5000 0.5000
Mg 0.0000 0.0000 0.0000
Sm 0.0881 0.0881 0.7356
Sm 0.9119 0.9119 0.2644

---

No. 2
This record from Alexandria via LeMat-Bulk describes Mg2TiTcN4 after structural relaxation. The functional is GGA-PBE.

The calculation puts the volume at 9.87 Å³ per atom. For the spin magnetization, the calculation gives 0.00 Bohr magnetons per cell. As for the energy relative to the elements, uncorrected: -6.62 eV per formula unit. For the raw total energy, the calculation gives -61.370 eV per formula unit.

Unit cell a=2.9702 b=5.1921 c=5.4116 alpha=108.81 beta=90.00 gamma=90.00
Atoms (fractional coordinates):
Mg 0.5000 0.0000 0.5000
Mg 0.0000 0.5000 0.5000
Ti 0.5000 0.5000 0.0000
Tc 0.0000 0.0000 0.0000
N 0.5000 0.2484 0.2402
N 0.5000 0.7516 0.7598
N 0.0000 0.2596 0.7632
N 0.0000 0.7404 0.2368

---

No. 3
This record from Alexandria via LeMat-Bulk describes ThZn3Au10 after structural relaxation. The functional is GGA-PBE.

The formation energy is -0.141 eV per atom. The calculation puts the volume at 19.74 Å³ per atom. For the spin magnetization, the calculation gives 0.00 Bohr magnetons per cell. For the raw total energy, the calculation gives -45.995 eV per formula unit.

Unit cell a=9.2120 b=9.2119 c=9.2119 alpha=60.00 beta=60.00 gamma=60.00
Atoms (fractional coordinates):
Th 0.2500 0.2500 0.2500
Th 0.7500 0.7500 0.7500
Zn 0.7338 0.7338 0.2662
Zn 0.7338 0.2662 0.7338
Zn 0.2662 0.7338 0.7338
Zn 0.2662 0.2662 0.7338
Zn 0.7338 0.2662 0.2662
Zn 0.2662 0.7338 0.2662
Au 0.0000 0.0000 0.3458
Au 0.0000 0.3458 0.0000
Au 0.3458 0.0000 0.0000
Au 0.6542 0.3458 0.0000
Au 0.3827 0.3827 0.3827
Au 0.1481 0.6173 0.6173
Au 0.3827 0.8518 0.3827
Au 0.6542 0.0000 0.3458
Au 0.3827 0.3827 0.8518
Au 0.8519 0.3827 0.3827
Au 0.6173 0.6173 0.1482
Au 0.0000 0.0000 0.6542
Au 0.3458 0.6542 0.0000
Au 0.0000 0.6542 0.3458
Au 0.0000 0.3458 0.6542
Au 0.6542 0.0000 0.0000
Au 0.6173 0.6173 0.6173
Au 0.0000 0.6542 0.0000
Au 0.6173 0.1482 0.6173
Au 0.3458 0.0000 0.6542

---

No. 4
This record from Alexandria via LeMat-Bulk describes TmTeH after structural relaxation. The functional is GGA-PBE.

The calculation puts the volume at 19.91 Å³ per atom. For the spin magnetization, the calculation gives 0.00 Bohr magnetons per cell. For the raw total energy, the calculation gives -13.989 eV per formula unit.

Unit cell a=3.9063 b=4.8605 c=6.3815 alpha=80.36 beta=90.00 gamma=90.00
Atoms (fractional coordinates):
Tm 0.5229 0.2868 0.8286
Tm 0.0229 0.8889 0.2183
Te 0.0229 0.7923 0.7229
Te 0.5229 0.3834 0.3240
H 0.0229 0.2321 0.9795
H 0.5229 0.9435 0.0673

---

No. 5
This record from Alexandria via LeMat-Bulk describes Fe2CoOs after structural relaxation. The functional is GGA-PBE.

The formation energy is 0.120 eV per atom. The calculation puts the volume at 11.94 Å³ per atom. For the spin magnetization, the calculation gives 4.59 Bohr magnetons per cell. For the raw total energy, the calculation gives -34.780 eV per formula unit.

Unit cell a=4.4155 b=4.4155 c=4.4320 alpha=80.57 beta=80.57 gamma=34.14
Site moments in Bohr magnetons follow the coordinates.
Atoms (fractional coordinates):
Co 0.2500 0.2500 0.2494  0.83
Fe 0.9972 0.9972 0.0033  1.97
Fe 0.7497 0.7497 0.7513  2.00
Os 0.5031 0.5031 0.4960  -0.20

---

No. 6
This record from Alexandria via LeMat-Bulk describes Pu2MnGa4Pt3 after structural relaxation. The functional is GGA-PBE.

The formation energy is -0.602 eV per atom. The calculation puts the volume at 18.77 Å³ per atom. For the spin magnetization, the calculation gives 13.49 Bohr magnetons per cell. For the raw total energy, the calculation gives -74.080 eV per formula unit.

Unit cell a=4.0947 b=4.0947 c=11.1953 alpha=90.00 beta=90.00 gamma=90.00
Site moments in Bohr magnetons follow the coordinates.
Atoms (fractional coordinates):
Pu 0.5000 0.0000 0.2514  5.14
Pu 0.0000 0.5000 0.7486  5.14
Mn 0.5000 0.5000 0.5000  3.07
Ga 0.5000 0.5000 0.0000  -0.01
Ga 0.0000 0.0000 0.0000  0.01
Ga 0.5000 0.0000 0.6344  -0.10
Ga 0.0000 0.5000 0.3656  -0.10
Pt 0.0000 0.0000 0.5000  -0.02
Pt 0.5000 0.0000 0.8593  -0.04
Pt 0.0000 0.5000 0.1407  -0.04

---

No. 7
This record from Alexandria via LeMat-Bulk describes Eu2AgSe after structural relaxation. The functional is GGA-PBE.

As for the excess energy over the best structure of this formula in the dataset: 0 meV/atom. The calculation puts the volume at 30.59 Å³ per atom. For the spin magnetization, the calculation gives 14.82 Bohr magnetons per cell. As for the energy relative to the elements, uncorrected: -4.11 eV per formula unit. For the raw total energy, the calculation gives -30.996 eV per formula unit.

Unit cell a=4.3329 b=4.3329 c=7.9312 alpha=74.15 beta=74.15 gamma=60.00
Site moments in Bohr magnetons follow the coordinates.
Atoms (fractional coordinates):
Eu 0.2441 0.2441 0.2677  6.93
Eu 0.7559 0.7559 0.7323  6.93
Se 0.5000 0.5000 0.5000  -0.06
Ag 0.0000 0.0000 0.0000  0.03

---

No. 8
This record from Alexandria via LeMat-Bulk describes KCd12Au4 after structural relaxation. The functional is GGA-PBE.

The formation energy is -0.026 eV per atom. The calculation puts the volume at 27.31 Å³ per atom. For the spin magnetization, the calculation gives 0.00 Bohr magnetons per cell. For the raw total energy, the calculation gives -25.622 eV per formula unit.

Unit cell a=8.4484 b=8.4484 c=8.4484 alpha=109.47 beta=109.47 gamma=109.47
Atoms (fractional coordinates):
K 0.0000 0.0000 0.0000
Cd 0.8446 0.3496 0.1942
Cd 0.3496 0.5050 0.1554
Cd 0.8058 0.1554 0.6504
Cd 0.3496 0.1942 0.8446
Cd 0.1942 0.8446 0.3496
Cd 0.6504 0.4950 0.8446
Cd 0.5050 0.1554 0.3496
Cd 0.4950 0.8446 0.6504
Cd 0.6504 0.8058 0.1554
Cd 0.8446 0.6504 0.4950
Cd 0.1554 0.3496 0.5050
Cd 0.1554 0.6504 0.8058
Au 0.0000 0.5000 0.0000
Au 0.5000 0.0000 0.0000
Au 0.5000 0.5000 0.5000
Au 0.0000 0.0000 0.5000

---

Copy entry 7 word for word.
This record from Alexandria via LeMat-Bulk describes Eu2AgSe after structural relaxation. The functional is GGA-PBE.

As for the excess energy over the best structure of this formula in the dataset: 0 meV/atom. The calculation puts the volume at 30.59 Å³ per atom. For the spin magnetization, the calculation gives 14.82 Bohr magnetons per cell. As for the energy relative to the elements, uncorrected: -4.11 eV per formula unit. For the raw total energy, the calculation gives -30.996 eV per formula unit.

Unit cell a=4.3329 b=4.3329 c=7.9312 alpha=74.15 beta=74.15 gamma=60.00
Site moments in Bohr magnetons follow the coordinates.
Atoms (fractional coordinates):
Eu 0.2441 0.2441 0.2677  6.93
Eu 0.7559 0.7559 0.7323  6.93
Se 0.5000 0.5000 0.5000  -0.06
Ag 0.0000 0.0000 0.0000  0.03

---

Q: spin magnetization of number 6 (Pu2MnGa4Pt3)?
A: 13.49 Bohr magnetons per cell